! InGaSb2 | the Alexandria database | SCAN | single point on PBEsol structure; values from VASP
! - Mass density: 5.64 g/cm3
! - ΔE to the lowest computed polymorph: 0.07 eV per formula unit
! - D(E_F): 0.030 states/eV per atom
! - Space-group type: R3m (160)
! - Energy relative to the elements, uncorrected: -53.8 kJ/mol of formula units
&SYSTEM
  ibrav = 0, nat = 4, ntyp = 3
/
ATOMIC_SPECIES
In 114.82 In.upf
Ga 69.72 Ga.upf
Sb 121.76 Sb.upf
CELL_PARAMETERS angstrom
2.2312 1.2882 7.3100
-2.2312 1.2882 7.3100
0.0000 -2.5764 7.3100
ATOMIC_POSITIONS angstrom
In 0.0000 0.0000 0.0000
Ga 0.0000 0.0000 10.9428
Sb 0.0000 0.0000 2.8155
Sb 0.0000 0.0000 13.5877

! BaYTa2 | the Alexandria database | SCAN | single point on PBEsol structure; values from VASP
! - ΔE_f: 4.59 eV per formula unit
! - Mass density: 10.32 g/cm3
! - ΔE to the lowest computed polymorph: 2.76 eV per formula unit
! - D(E_F): 0.989 states/eV per atom
! - Space-group type: P2/m (10)
&SYSTEM
  ibrav = 0, nat = 4, ntyp = 3
/
ATOMIC_SPECIES
Ba 137.33 Ba.upf
Y 88.91 Y.upf
Ta 180.95 Ta.upf
CELL_PARAMETERS angstrom
5.5302 0.0000 0.0000
0.0000 3.1441 0.0000
-2.0361 0.0000 5.4410
ATOMIC_POSITIONS angstrom
Ba 0.0000 0.0000 0.0000
Y 2.7651 1.5721 0.0000
Ta -1.0181 1.5721 2.7205
Ta 1.7470 0.0000 2.7205

! Li6PS5Br | the Alexandria database | SCAN | single point on PBEsol structure; values from VASP
! - Mass density: 1.98 g/cm3
! - D(E_F): 0.000 states/eV per atom
! - Space-group type: F-43m (216)
! - Energy relative to the elements, uncorrected: -1541.7 kJ/mol of formula units
&SYSTEM
  ibrav = 0, nat = 13, ntyp = 4
/
ATOMIC_SPECIES
Li 6.94 Li.upf
P 30.97 P.upf
S 32.06 S.upf
Br 79.90 Br.upf
CELL_PARAMETERS angstrom
0.0000 5.0790 5.0790
5.0790 0.0000 5.0790
5.0790 5.0790 0.0000
ATOMIC_POSITIONS angstrom
Li 5.0790 5.0790 2.3018
Li 5.0790 2.3018 5.0790
Li 7.8563 5.0790 5.0790
Li 2.3018 5.0790 5.0790
Li 5.0790 7.8563 5.0790
Li 5.0790 5.0790 7.8563
P 2.5395 2.5395 2.5395
S 0.0000 0.0000 0.0000
S 3.7209 3.7209 3.7209
S 6.4372 6.4372 3.7209
S 6.4372 3.7209 6.4372
S 3.7209 6.4372 6.4372
Br 7.6186 7.6186 7.6186